Nd2Dy3Cd | GGA-PBE | relaxed

## Properties
As for the formation energy: 270 meV/atom. Its excess energy over the best structure of this formula in the dataset is 2.205 eV/f.u. For the size of the total moment, the calculation gives 0.00 μB/f.u. The density of states at the Fermi level comes out at 10.1 states/eV per cell.

Cell: 6.7080 6.7080 6.7080 Å, 128.71 123.18 80.06°
With the nearest neighbours (Å) after each atom.
Element x y z (fractional)
Nd: 0.1786 0.1786 0.0000  6 Dy 3.20-3.43, 1 Cd 3.30
Nd: 0.8214 0.8214 0.0000  6 Dy 3.20-3.43, 1 Cd 3.30
Dy: 0.0000 0.5000 0.5000  2 Cd 3.19, 4 Nd 3.43, 2 Dy 3.52
Dy: 0.3423 0.8423 0.5000  4 Nd 3.20-3.36, 2 Dy 3.24-3.52, 2 Cd 3.32
Dy: 0.6577 0.1577 0.5000  4 Nd 3.20-3.36, 2 Dy 3.24-3.52, 2 Cd 3.32
Cd: 0.5000 0.5000 0.0000  6 Dy 3.19-3.32, 2 Nd 3.30